CsBaCoF6: relaxed, PBE with a Hubbard U.

Cell lengths 8.6084, 7.7982, 7.8323 Å; angles 119.86, 123.34, 90.00 degrees
Positions (direct):
1 F 0.2186 0.8400 0.7541
2 F 0.8789 0.1289 0.7578
3 Co 0.5000 0.5000 0.0000
4 F 0.4645 0.1600 0.2459
5 Ba 0.5000 0.0000 0.5000
6 F 0.4389 0.1889 0.8778
7 Co 0.5000 0.0000 0.0000
8 F 0.5355 0.8400 0.7541
9 F 0.7814 0.1600 0.2459
10 F 0.5611 0.8111 0.1222
11 F 0.2186 0.4141 0.7541
12 F 0.5355 0.4141 0.7541
13 Cs 0.1569 0.4069 0.3138
14 Ba 0.0000 0.0000 0.5000
15 Cs 0.8431 0.5931 0.6862
16 F 0.4645 0.5859 0.2459
17 F 0.1211 0.8711 0.2422
18 F 0.7814 0.5859 0.2459

Summary:
E, eV per formula unit: -44.51
ρ, Mg/m³: 4.2